A relaxed ScRePd crystal, computed with GGA-PBE.

Relative energy among the computed polymorphs (eV per formula unit): 0.000

Unit cell a=6.1542 b=6.1542 c=6.1542 alpha=90.00 beta=90.00 gamma=90.00
Space group F-43m (No. 216)
Inequivalent atoms, fractional coordinates:
Sc  0.0000  0.0000  0.0000 [4 per cell]
Re  0.0000  0.0000  0.5000 [4 per cell]
Pd  0.2500  0.2500  0.7500 [4 per cell]

A relaxed In2SiAu crystal, computed with GGA-PBE.

Unit cell a=7.0266 b=7.0266 c=7.0266 alpha=90.00 beta=90.00 gamma=90.00
Space group F-43m (No. 216)
Inequivalent atoms, fractional coordinates:
In  0.0000  0.0000  0.0000 [4 per cell]
In  0.2500  0.2500  0.2500 [4 per cell]
Si  0.0000  0.0000  0.5000 [4 per cell]
Au  0.2500  0.2500  0.7500 [4 per cell]

A relaxed Tm3Mg3InHg2 crystal, computed with GGA-PBE.

Unit cell a=7.4173 b=7.4173 c=4.5715 alpha=90.00 beta=90.00 gamma=120.00
Space group P-62m (No. 189)
Inequivalent atoms, fractional coordinates:
Tm  0.0000  0.4308  0.0000 [3 per cell]
Mg  0.0000  0.7549  0.5000 [3 per cell]
In  0.0000  0.0000  0.0000 [1 per cell]
Hg  0.3333  0.6667  0.5000 [2 per cell]

A relaxed HoBeAsO crystal, computed with GGA-PBE.

Relative energy among the computed polymorphs (eV per formula unit): 0.139

Unit cell a=4.1752 b=5.9291 c=5.5239 alpha=90.00 beta=90.00 gamma=90.00
Space group Pmc2_1 (No. 26)
Inequivalent atoms, fractional coordinates:
Ho  0.0000  0.2479  0.0000 [2 per cell]
Be  0.5000  0.1059  0.6375 [2 per cell]
As  0.0000  0.2698  0.5075 [2 per cell]
O  0.5000  0.1147  0.9485 [2 per cell]

A relaxed TlPb5W3 crystal, computed with GGA-PBE.

Unit cell a=5.6036 b=5.6036 c=8.8866 alpha=90.00 beta=90.00 gamma=120.00
Space group P6/mmm (No. 191)
Inequivalent atoms, fractional coordinates:
Tl  0.0000  0.0000  0.0000 [1 per cell]
Pb  0.0000  0.0000  0.5000 [1 per cell]
Pb  0.3333  0.6667  0.2116 [4 per cell]
W  0.0000  0.5000  0.5000 [3 per cell]

A relaxed TcBiNO crystal, computed with GGA-PBE.

Relative energy among the computed polymorphs (eV per formula unit): 1.514

Unit cell a=4.1944 b=4.1944 c=8.5041 alpha=90.00 beta=90.00 gamma=90.00
Space group P4/nmm (No. 129, origin choice 2)
Inequivalent atoms, fractional coordinates:
Tc  0.2500  0.2500  0.0615 [2 per cell]
Bi  0.2500  0.7500  0.5000 [2 per cell]
N  0.2500  0.2500  0.2589 [2 per cell]
O  0.2500  0.7500  0.0000 [2 per cell]

A relaxed ScSnAuSe3 crystal, computed with GGA-PBE.

Relative energy among the computed polymorphs (eV per formula unit): 0.603

Unit cell a=10.5307 b=3.9570 c=13.3684 alpha=90.00 beta=90.00 gamma=90.00
Space group Pnma (No. 62)
Inequivalent atoms, fractional coordinates:
Sc  0.0192  0.2500  0.2447 [4 per cell]
Sn  0.2276  0.7500  0.5159 [4 per cell]
Au  0.2416  0.2500  0.7076 [4 per cell]
Se  0.0237  0.2500  0.6142 [4 per cell]
Se  0.0565  0.7500  0.1041 [4 per cell]
Se  0.2290  0.7500  0.8431 [4 per cell]

A relaxed TbPr2Ni4Sn4 crystal, computed with GGA-PBE.

Unit cell a=4.5421 b=6.9276 c=14.7403 alpha=90.00 beta=90.00 gamma=90.00
Space group Immm (No. 71)
Inequivalent atoms, fractional coordinates:
Tb  0.0000  0.0000  0.0000 [2 per cell]
Pr  0.0000  0.5000  0.1334 [4 per cell]
Ni  0.0000  0.3157  0.3285 [8 per cell]
Sn  0.0000  0.0000  0.2149 [4 per cell]
Sn  0.0000  0.2072  0.5000 [4 per cell]

Calculated values (eV/atom) of E for the records, taken in order: -7.480; -3.268; -2.733; -6.299; -6.135; -6.784; -4.765; -5.300.